[1]
Compound: DyGa2Co2
Source: Alexandria
Functional: PBE
Structure: relaxed

The value obtained for the total magnetization is 0.0 μB/cell. The value obtained for the total energy is -5.390 eV/atom.

It has space group I4/mmm (No. 139), with a = 4.051 Å, b = 4.051 Å, c = 9.871 Å, α = 90.00°, β = 90.00° and γ = 90.00°. The asymmetric unit holds Dy at (0.000, 0.000, 0.000), Ga at (0.000, 0.000, 0.370) and Co at (0.000, 0.500, 0.250).

***

[2]
Compound: Dy3GaCo
Source: Alexandria
Functional: PBE
Structure: relaxed

The value obtained for the total magnetization is 0.0 μB/cell. The value obtained for the total energy is -5.113 eV/atom. For the polymorph energy (0 for the lowest one), the calculation gives 0 meV/atom.

It has space group C2/m (No. 12), with a = 9.924 Å, b = 6.265 Å, c = 8.438 Å, α = 90.00°, β = 115.30° and γ = 90.00°. The asymmetric unit holds Dy at (0.013, 0.000, 0.226), Dy at (0.187, 0.500, 0.862), Dy at (0.201, 0.500, 0.332), Ga at (0.000, 0.293, 0.500) and Co at (0.000, 0.314, 0.000).

***

[3]
Compound: DyGa8Co2
Source: Alexandria
Functional: PBE
Structure: relaxed

The value obtained for the total magnetization is 0.0 μB/cell. The value obtained for the total energy is -3.893 eV/atom.

It has space group P4/mmm (No. 123), with a = 5.663 Å, b = 5.663 Å, c = 7.281 Å, α = 90.00°, β = 90.00° and γ = 90.00°. The asymmetric unit holds Dy at (0.000, 0.000, 0.000), Ga at (0.255, 0.255, 0.308) and Co at (0.000, 0.500, 0.500).

***

[4]
Compound: Dy3Ga3Co2
Source: Alexandria
Functional: PBE
Structure: relaxed

The value obtained for the total magnetization is 0.0 μB/cell. The value obtained for the total energy is -5.142 eV/atom.

It has space group Pnma (No. 62), with a = 7.407 Å, b = 14.746 Å, c = 5.709 Å, α = 90.00°, β = 90.00° and γ = 90.00°. The asymmetric unit holds Dy at (0.034, 0.107, 0.121), Dy at (0.164, 0.250, 0.638), Ga at (0.169, 0.040, 0.605), Ga at (0.178, 0.750, 0.622) and Co at (0.130, 0.606, 0.385).